one | Ac2NdTl3: optimized geometry, GGA-PBE.

The value obtained for the total magnetic moment is 0.000 μB/f.u. The density of states at the Fermi level is 5.31 states/eV/f.u. As for the volume: 217 Å³/f.u.

The structure belongs to space group Cmcm (No. 63); the cell edges are 3.9587, 30.0844 and 7.2755 Å and the angles 90.00°, 90.00° and 90.00°. The asymmetric unit holds Ac at (0.0000, 0.0108, 0.2500), Ac at (0.0000, 0.1591, 0.7500), Nd at (0.0000, 0.3389, 0.7500), Tl at (0.0000, 0.2464, 0.2500) and Tl at (0.0000, 0.4228, 0.0309).



two | Ac2NdTl3: optimized geometry, GGA-PBE.

The value obtained for the total magnetic moment is 0.000 μB/f.u. The density of states at the Fermi level is 5.77 states/eV/f.u. As for the volume: 200 Å³/f.u.

The structure belongs to space group P4/mmm (No. 123); the cell edges are 4.0427, 4.0427 and 12.2620 Å and the angles 90.00°, 90.00° and 90.00°. The asymmetric unit holds Ac at (0.0000, 0.0000, 0.1737), Nd at (0.0000, 0.0000, 0.5000), Tl at (0.5000, 0.5000, 0.0000) and Tl at (0.5000, 0.5000, 0.3509).



Relative energies, unit meV per atom: one 148; two 0



one | AcNd2Tl2: optimized geometry, GGA-PBE.

The value obtained for the total magnetic moment is 0.432 μB/f.u. The density of states at the Fermi level is 3.08 states/eV/f.u. As for the volume: 172 Å³/f.u.

The structure belongs to space group P6_3/mmc (No. 194); the cell edges are 5.4414, 5.4414 and 13.4171 Å and the angles 90.00°, 90.00° and 120.00°. The asymmetric unit holds Ac at (0.0000, 0.0000, 0.2500), Nd at (0.0000, 0.0000, 0.0000), Nd at (0.3333, 0.6667, 0.2500) and Tl at (0.3333, 0.6667, 0.6261).



two | AcNd2Tl2: optimized geometry, GGA-PBE.

The value obtained for the total magnetic moment is 0.000 μB/f.u. The density of states at the Fermi level is 4.59 states/eV/f.u. As for the volume: 170 Å³/f.u.

The structure belongs to space group P2_1/m (No. 11); the cell edges are 7.3002, 5.3104 and 9.4807 Å and the angles 90.00°, 112.52° and 90.00°. The asymmetric unit holds Ac at (0.0930, 0.2500, 0.1828), Nd at (0.2688, 0.7500, 0.5386), Nd at (0.4514, 0.7500, 0.9069), Tl at (0.1581, 0.2500, 0.7442) and Tl at (0.4168, 0.7500, 0.2575).



Relative energies, unit meV per atom: one 268; two 0



one | AcNd12Tm7: optimized geometry, GGA-PBE.

The value obtained for the total magnetic moment is 0.000 μB/f.u. The density of states at the Fermi level is 32.16 states/eV/f.u. As for the volume: 687 Å³/f.u.

The structure belongs to space group R-3 (No. 148, hexagonal axes); the cell edges are 12.3454, 12.3454 and 15.6062 Å and the angles 90.00°, 90.00° and 120.00°. The asymmetric unit holds Ac at (0.0000, 0.0000, 0.0000), Nd at (0.0100, 0.5741, 0.7112), Nd at (0.0536, 0.4614, 0.0884), Tm at (0.0000, 0.0000, 0.5000) and Tm at (0.0470, 0.8605, 0.8001).



two | AcNd12Tm7: optimized geometry, GGA-PBE.

The value obtained for the total magnetic moment is 0.000 μB/f.u. The density of states at the Fermi level is 25.99 states/eV/f.u. As for the volume: 778 Å³/f.u.

The structure belongs to space group Im-3 (No. 204); the cell edges are 11.5860, 11.5860 and 11.5860 Å and the angles 90.00°, 90.00° and 90.00°. The asymmetric unit holds Ac at (0.0000, 0.0000, 0.0000), Nd at (0.0000, 0.2898, 0.2386), Tm at (0.0000, 0.0000, 0.5000) and Tm at (0.2500, 0.2500, 0.2500).



Relative energies, unit meV per atom: one 0; two 426



one | AcNdTm2: optimized geometry, GGA-PBE.

The value obtained for the total magnetic moment is 0.000 μB/f.u. The density of states at the Fermi level is 5.84 states/eV/f.u. As for the volume: 139 Å³/f.u.

The structure belongs to space group P4/mmm (No. 123); the cell edges are 3.7732, 3.7732 and 9.7425 Å and the angles 90.00°, 90.00° and 90.00°. The asymmetric unit holds Ac at (0.0000, 0.0000, 0.0000), Nd at (0.0000, 0.0000, 0.5000) and Tm at (0.5000, 0.5000, 0.2605).



two | AcNdTm2: optimized geometry, GGA-PBE.

The value obtained for the total magnetic moment is 0.000 μB/f.u. The density of states at the Fermi level is 6.71 states/eV/f.u. As for the volume: 140 Å³/f.u.

The structure belongs to space group Fm-3m (No. 225); the cell edges are 8.2517, 8.2517 and 8.2517 Å and the angles 90.00°, 90.00° and 90.00°. The asymmetric unit holds Ac at (0.0000, 0.0000, 0.0000), Nd at (0.0000, 0.0000, 0.5000) and Tm at (0.2500, 0.2500, 0.2500).



Relative energies, unit meV per atom: one 0; two 46



one | AcNdTm2: optimized geometry, GGA-PBE.

The value obtained for the total magnetic moment is 0.000 μB/f.u. The density of states at the Fermi level is 4.14 states/eV/f.u. As for the volume: 138 Å³/f.u.

The structure belongs to space group R-3m (No. 166, hexagonal axes); the cell edges are 3.6953, 3.6953 and 35.0156 Å and the angles 90.00°, 90.00° and 120.00°. The asymmetric unit holds Ac at (0.0000, 0.0000, 0.0000), Nd at (0.0000, 0.0000, 0.5000) and Tm at (0.0000, 0.0000, 0.2480).



two | AcNdTm2: optimized geometry, GGA-PBE.

The value obtained for the total magnetic moment is 0.000 μB/f.u. The density of states at the Fermi level is 5.75 states/eV/f.u. As for the volume: 139 Å³/f.u.

The structure belongs to space group R3m (No. 160, hexagonal axes); the cell edges are 3.6895, 3.6895 and 35.4576 Å and the angles 90.00°, 90.00° and 120.00°. The asymmetric unit holds Ac at (0.0000, 0.0000, 0.0000), Nd at (0.0000, 0.0000, 0.1661), Tm at (0.0000, 0.0000, 0.5799) and Tm at (0.0000, 0.0000, 0.7527).



Relative energies, unit meV per atom: one 0; two 22



one | Ac2NdTm: optimized geometry, GGA-PBE.

The value obtained for the total magnetic moment is 0.000 μB/f.u. The density of states at the Fermi level is 5.58 states/eV/f.u. As for the volume: 153 Å³/f.u.

The structure belongs to space group P4/mmm (No. 123); the cell edges are 5.4122, 5.4122 and 5.2202 Å and the angles 90.00°, 90.00° and 90.00°. The asymmetric unit holds Ac at (0.0000, 0.5000, 0.0000), Nd at (0.0000, 0.0000, 0.5000) and Tm at (0.5000, 0.5000, 0.5000).



two | Ac2NdTm: optimized geometry, GGA-PBE.

The value obtained for the total magnetic moment is 0.000 μB/f.u. The density of states at the Fermi level is 6.31 states/eV/f.u. As for the volume: 153 Å³/f.u.

The structure belongs to space group P4/mmm (No. 123); the cell edges are 3.8857, 3.8857 and 10.1496 Å and the angles 90.00°, 90.00° and 90.00°. The asymmetric unit holds Ac at (0.0000, 0.0000, 0.2427), Nd at (0.5000, 0.5000, 0.5000) and Tm at (0.5000, 0.5000, 0.0000).



three | Ac2NdTm: optimized geometry, GGA-PBE.

The value obtained for the total magnetic moment is 0.000 μB/f.u. The density of states at the Fermi level is 6.34 states/eV/f.u. As for the volume: 154 Å³/f.u.

The structure belongs to space group R3m (No. 160, hexagonal axes); the cell edges are 3.8179, 3.8179 and 36.5083 Å and the angles 90.00°, 90.00° and 120.00°. The asymmetric unit holds Ac at (0.0000, 0.0000, 0.0000), Ac at (0.0000, 0.0000, 0.1704), Nd at (0.0000, 0.0000, 0.7530) and Tm at (0.0000, 0.0000, 0.5846).



four | Ac2NdTm: optimized geometry, GGA-PBE.

The value obtained for the total magnetic moment is 0.000 μB/f.u. The density of states at the Fermi level is 7.80 states/eV/f.u. As for the volume: 155 Å³/f.u.

The structure belongs to space group Fm-3m (No. 225); the cell edges are 8.5184, 8.5184 and 8.5184 Å and the angles 90.00°, 90.00° and 90.00°. The asymmetric unit holds Ac at (0.2500, 0.2500, 0.2500), Nd at (0.0000, 0.0000, 0.0000) and Tm at (0.0000, 0.0000, 0.5000).



Relative energies, unit meV per atom: one 0; two 6; three 24; four 67



one | Ac4NdTm: optimized geometry, GGA-PBE.

The value obtained for the total magnetic moment is 0.000 μB/f.u. The density of states at the Fermi level is 11.82 states/eV/f.u. As for the volume: 245 Å³/f.u.

The structure belongs to space group Pmmm (No. 47); the cell edges are 3.7201, 6.2286 and 10.5932 Å and the angles 90.00°, 90.00° and 90.00°. The asymmetric unit holds Ac at (0.0000, 0.0000, 0.1672), Ac at (0.0000, 0.5000, 0.3293), Nd at (0.5000, 0.0000, 0.5000) and Tm at (0.5000, 0.5000, 0.0000).



two | Ac4NdTm: optimized geometry, GGA-PBE.

The value obtained for the total magnetic moment is 0.000 μB/f.u. The density of states at the Fermi level is 9.49 states/eV/f.u. As for the volume: 258 Å³/f.u.

The structure belongs to space group F-43m (No. 216); the cell edges are 10.1086, 10.1086 and 10.1086 Å and the angles 90.00°, 90.00° and 90.00°. The asymmetric unit holds Ac at (0.1243, 0.1243, 0.3757), Nd at (0.0000, 0.0000, 0.0000) and Tm at (0.2500, 0.2500, 0.7500).



Relative energies, unit meV per atom: one 0; two 213



one | AcNd8Tm2: optimized geometry, GGA-PBE.

The value obtained for the total magnetic moment is 0.000 μB/f.u. The density of states at the Fermi level is 17.66 states/eV/f.u. As for the volume: 386 Å³/f.u.

The structure belongs to space group C2/m (No. 12); the cell edges are 18.7280, 5.2011 and 8.2195 Å and the angles 90.00°, 105.37° and 90.00°. The asymmetric unit holds Ac at (0.0000, 0.0000, 0.0000), Nd at (0.0478, 0.5000, 0.7238), Nd at (0.0939, 0.0000, 0.4614), Nd at (0.1402, 0.5000, 0.1917), Nd at (0.1837, 0.0000, 0.9103) and Tm at (0.2286, 0.5000, 0.6350).



two | AcNd8Tm2: optimized geometry, GGA-PBE.

The value obtained for the total magnetic moment is 0.000 μB/f.u. The density of states at the Fermi level is 15.99 states/eV/f.u. As for the volume: 402 Å³/f.u.

The structure belongs to space group C2/m (No. 12); the cell edges are 19.8054, 7.1821 and 5.6632 Å and the angles 90.00°, 93.52° and 90.00°. The asymmetric unit holds Ac at (0.0000, 0.0000, 0.0000), Nd at (0.0450, 0.5000, 0.2415), Nd at (0.1366, 0.2714, 0.7290), Nd at (0.1898, 0.0000, 0.2337) and Tm at (0.2147, 0.5000, 0.2489).



Relative energies, unit meV per atom: one 0; two 90